[1]
An optimized crystal structure of ZnAsWSe2, computed with GGA-PBE.

Summary:
**DOS(E_F)**: 3.38 states/eV per cell
**Polymorph energy (0 for the lowest one)**: 0.0000 eV per atom
**E_form (uncorrected)**: 2.03 eV per formula unit
**V**: 24.281 Å³ per atom
**Space group**: No. 123

abc: 4.9160 4.9160 5.0236
angles: 90.00 90.00 90.00
Closest atoms and distances in Å follow each position.
Fractional positions:
Zn: 0.5000 0.5000 0.5000  4 As 3.48, 8 Se 3.51
As: 0.0000 0.0000 0.5000  2 W 2.51
Se: 0.0000 0.5000 0.0000  2 W 2.46
Se: 0.5000 0.0000 0.0000  2 W 2.46
W: 0.0000 0.0000 0.0000  4 Se 2.46, 2 As 2.51

=====

[2]
An optimized crystal structure of CaSn2Se2, computed with GGA-PBE.

Summary:
**DOS(E_F)**: 2.68 states/eV per cell
**E_form (uncorrected)**: -3.21 eV per formula unit
**V**: 27.707 Å³ per atom
**Space group**: No. 127

abc: 7.7825 7.7825 4.5745
angles: 90.00 90.00 90.00
Closest atoms and distances in Å follow each position.
Fractional positions:
Ca: 0.0000 0.0000 0.0000  4 Se 2.88
Ca: 0.5000 0.5000 0.0000  4 Se 2.88
Sn: 0.1664 0.6664 0.5000  2 Se 2.90
Sn: 0.6664 0.8336 0.5000  2 Se 2.90
Sn: 0.8336 0.3336 0.5000  2 Se 2.90
Sn: 0.3336 0.1664 0.5000  2 Se 2.90
Se: 0.3283 0.8283 0.0000  2 Ca 2.88, 2 Sn 2.90
Se: 0.8283 0.6717 0.0000  2 Ca 2.88, 2 Sn 2.90
Se: 0.6717 0.1717 0.0000  2 Ca 2.88, 2 Sn 2.90
Se: 0.1717 0.3283 0.0000  2 Ca 2.88, 2 Sn 2.90

=====

[3]
An optimized crystal structure of LaCe2Sm3Se6, computed with GGA-PBE.

Summary:
**DOS(E_F)**: 15.16 states/eV per cell
**E_form (uncorrected)**: -22.26 eV per formula unit
**V**: 26.326 Å³ per atom
**Space group**: No. 12

abc: 7.2781 7.2781 7.3071
angles: 99.57 99.57 120.06
Closest atoms and distances in Å follow each position.
Fractional positions:
La: 0.0000 0.0000 0.0000  6 Se 3.01-3.03
Ce: 0.3331 0.6669 0.0000  6 Se 2.98-2.99
Ce: 0.6669 0.3331 0.0000  6 Se 2.98-2.99
Sm: 0.1634 0.8366 0.5000  6 Se 2.95-2.96
Sm: 0.8366 0.1634 0.5000  6 Se 2.95-2.96
Sm: 0.5000 0.5000 0.5000  6 Se 2.94-2.96
Se: 0.9144 0.5767 0.7436  3 Sm 2.95-2.96, 2 Ce 2.99, 1 La 3.03
Se: 0.7464 0.7464 0.2530  3 Sm 2.94-2.95, 2 Ce 2.98, 1 La 3.01
Se: 0.0856 0.4233 0.2564  3 Sm 2.95-2.96, 2 Ce 2.99, 1 La 3.03
Se: 0.5767 0.9144 0.7436  3 Sm 2.95-2.96, 2 Ce 2.99, 1 La 3.03
Se: 0.2536 0.2536 0.7470  3 Sm 2.94-2.95, 2 Ce 2.98, 1 La 3.01
Se: 0.4233 0.0856 0.2564  3 Sm 2.95-2.96, 2 Ce 2.99, 1 La 3.03

=====

[4]
An optimized crystal structure of Tb5PmSc2, computed with GGA-PBE.

Summary:
**DOS(E_F)**: 22.25 states/eV per cell
**Calculated formation energy**: 33 kJ/mol of formula units
**Polymorph energy (0 for the lowest one)**: 0.0000 eV per atom
**V**: 30.182 Å³ per atom
**Space group**: No. 55

abc: 3.5128 9.8467 13.9612
angles: 90.00 90.00 90.00
Closest atoms and distances in Å follow each position.
Fractional positions:
Tb: 0.0000 0.0000 0.0000  8 Tb 3.48-3.51, 4 Sc 3.49
Tb: 0.0000 0.5000 0.5000  8 Tb 3.48-3.51, 4 Sc 3.49
Tb: 0.0000 0.4990 0.7493  4 Sc 3.47-3.50, 7 Tb 3.48-3.51, 1 Pm 3.50
Tb: 0.0000 0.5010 0.2507  4 Sc 3.47-3.50, 7 Tb 3.48-3.51, 1 Pm 3.50
Tb: 0.0000 0.0010 0.2493  4 Sc 3.47-3.50, 7 Tb 3.48-3.51, 1 Pm 3.50
Tb: 0.0000 0.9990 0.7507  4 Sc 3.47-3.50, 7 Tb 3.48-3.51, 1 Pm 3.50
Tb: 0.5000 0.2483 0.8742  2 Sc 3.47-3.51, 8 Tb 3.48-3.51, 2 Pm 3.51
Tb: 0.5000 0.7517 0.1258  2 Sc 3.47-3.51, 8 Tb 3.48-3.51, 2 Pm 3.51
Tb: 0.5000 0.2517 0.3742  2 Sc 3.47-3.51, 8 Tb 3.48-3.51, 2 Pm 3.51
Tb: 0.5000 0.7483 0.6258  2 Sc 3.47-3.51, 8 Tb 3.48-3.51, 2 Pm 3.51
Pm: 0.0000 0.0000 0.5000  4 Sc 3.50, 6 Tb 3.50-3.51, 2 Pm 3.51
Pm: 0.0000 0.5000 0.0000  4 Sc 3.50, 6 Tb 3.50-3.51, 2 Pm 3.51
Sc: 0.5000 0.2505 0.6256  8 Tb 3.47-3.51, 2 Pm 3.50, 2 Sc 3.51
Sc: 0.5000 0.7495 0.3744  8 Tb 3.47-3.51, 2 Pm 3.50, 2 Sc 3.51
Sc: 0.5000 0.2495 0.1256  8 Tb 3.47-3.51, 2 Pm 3.50, 2 Sc 3.51
Sc: 0.5000 0.7505 0.8744  8 Tb 3.47-3.51, 2 Pm 3.50, 2 Sc 3.51

=====

[5]
An optimized crystal structure of Na3SbO3, computed with GGA-PBE.

Summary:
**DOS(E_F)**: 0.00 states/eV per cell
**Polymorph energy (0 for the lowest one)**: 0.0000 eV per atom
**E_form (uncorrected)**: -10.93 eV per formula unit
**V**: 15.915 Å³ per atom
**Space group**: No. 217

abc: 8.3342 8.3342 8.3342
angles: 109.47 109.47 109.47
Closest atoms and distances in Å follow each position.
Fractional positions:
Na: 0.2442 0.7253 0.7253  5 O 2.42-2.47
Na: 0.7253 0.7253 0.2442  5 O 2.42-2.47
Na: 0.7253 0.2442 0.7253  5 O 2.42-2.47
Na: 0.0000 0.5189 0.2747  5 O 2.42-2.47
Na: 0.0000 0.2747 0.5189  5 O 2.42-2.47
Na: 0.7558 0.4811 0.4811  5 O 2.42-2.47
Na: 0.4811 0.4811 0.7558  5 O 2.42-2.47
Na: 0.5189 0.2747 0.0000  5 O 2.42-2.47
Na: 0.2747 0.0000 0.5189  5 O 2.42-2.47
Na: 0.5189 0.0000 0.2747  5 O 2.42-2.47
Na: 0.4811 0.7558 0.4811  5 O 2.42-2.47
Na: 0.2747 0.5189 0.0000  5 O 2.42-2.47
Sb: 0.0000 0.7099 0.0000  3 O 1.99
Sb: 0.0000 0.0000 0.7099  3 O 1.99
Sb: 0.2901 0.2901 0.2901  3 O 1.99
Sb: 0.7099 0.0000 0.0000  3 O 1.99
O: 0.4801 0.2594 0.4801  1 Sb 1.99
O: 0.2594 0.4801 0.4801  1 Sb 1.99
O: 0.4801 0.4801 0.2594  1 Sb 1.99
O: 0.5199 0.7793 0.0000  1 Sb 1.99
O: 0.7793 0.0000 0.5199  1 Sb 1.99
O: 0.5199 0.0000 0.7793  1 Sb 1.99
O: 0.2207 0.7406 0.2207  1 Sb 1.99
O: 0.7793 0.5199 0.0000  1 Sb 1.99
O: 0.0000 0.5199 0.7793  1 Sb 1.99
O: 0.2207 0.2207 0.7406  1 Sb 1.99
O: 0.7406 0.2207 0.2207  1 Sb 1.99
O: 0.0000 0.7793 0.5199  1 Sb 1.99

=====

[6]
An optimized crystal structure of ScNiPb2W, computed with GGA-PBE.

Summary:
**DOS(E_F)**: 5.80 states/eV per cell
**Calculated formation energy**: 822 kJ/mol of formula units
**V**: 28.485 Å³ per atom
**Space group**: No. 123

abc: 5.4785 4.7452 5.4785
angles: 90.00 90.00 90.00
Closest atoms and distances in Å follow each position.
Fractional positions:
Pb: 0.0000 0.0000 0.5000  2 Sc 2.74
Pb: 0.5000 0.0000 0.0000  2 Sc 2.74
Ni: 0.5000 0.5000 0.5000  8 Pb 3.62, 4 W 3.87
Sc: 0.0000 0.0000 0.0000  2 W 2.37
W: 0.0000 0.5000 0.0000  2 Sc 2.37

=====

[7]
An optimized crystal structure of TcPbCl2, computed with GGA-PBE.

Summary:
**DOS(E_F)**: 1.47 states/eV per cell
**Polymorph energy (0 for the lowest one)**: 0.4374 eV per atom
**E_form (uncorrected)**: 1.08 eV per formula unit
**V**: 22.749 Å³ per atom
**Space group**: No. 12

abc: 5.7261 5.7261 3.4688
angles: 72.65 72.65 110.29
Closest atoms and distances in Å follow each position.
Fractional positions:
Pb: 0.5000 0.0000 0.5000  4 Cl 2.87
Tc: 0.0000 0.5000 0.5000  4 Cl 2.87
Cl: 0.0000 0.0000 0.0000  2 Tc 2.87, 2 Pb 2.87
Cl: 0.5000 0.5000 0.0000  2 Pb 2.87, 2 Tc 2.87

=====

[8]
An optimized crystal structure of BaYCdPt2, computed with GGA-PBE.

Summary:
**DOS(E_F)**: 5.39 states/eV per cell
**Calculated formation energy**: 194 kJ/mol of formula units
**V**: 34.594 Å³ per atom
**Space group**: No. 123

abc: 5.2186 6.3514 5.2186
angles: 90.00 90.00 90.00
Closest atoms and distances in Å follow each position.
Fractional positions:
Y: 0.0000 0.0000 0.0000  4 Pt 2.61
Ba: 0.0000 0.5000 0.0000  2 Y 3.18
Pt: 0.0000 0.0000 0.5000  2 Y 2.61
Pt: 0.5000 0.0000 0.0000  2 Y 2.61
Cd: 0.5000 0.5000 0.5000  4 Ba 3.69, 8 Pt 4.11

=====

[9]
An optimized crystal structure of KNa2TlGa, computed with GGA-PBE.

Summary:
**DOS(E_F)**: 1.62 states/eV per cell
**Calculated formation energy**: 39 kJ/mol of formula units
**Polymorph energy (0 for the lowest one)**: 0.0539 eV per atom
**V**: 38.973 Å³ per atom
**Space group**: No. 123

abc: 6.0730 6.0730 5.2835
angles: 90.00 90.00 90.00
Closest atoms and distances in Å follow each position.
Fractional positions:
Na: 0.0000 0.5000 0.0000  2 Tl 3.04
Na: 0.5000 0.0000 0.0000  2 Tl 3.04
Tl: 0.0000 0.0000 0.0000  2 Ga 2.64
K: 0.5000 0.5000 0.5000  8 Na 4.02, 4 Ga 4.29
Ga: 0.0000 0.0000 0.5000  2 Tl 2.64

=====

[10]
An optimized crystal structure of PrGa2Pd2Pt, computed with GGA-PBE.

Summary:
**DOS(E_F)**: 2.47 states/eV per cell
**Calculated formation energy**: -309 kJ/mol of formula units
**V**: 21.153 Å³ per atom
**Space group**: No. 123

abc: 4.7435 4.7435 5.6406
angles: 90.00 90.00 90.00
Closest atoms and distances in Å follow each position.
Fractional positions:
Pr: 0.0000 0.0000 0.5000  2 Pt 2.82
Ga: 0.5000 0.0000 0.0000  2 Pt 2.37
Ga: 0.0000 0.5000 0.0000  2 Pt 2.37
Pd: 0.5000 0.5000 0.7440  2 Pd 2.75-2.89, 4 Ga 2.78
Pd: 0.5000 0.5000 0.2560  2 Pd 2.75-2.89, 4 Ga 2.78
Pt: 0.0000 0.0000 0.0000  4 Ga 2.37

=====

[11]
An optimized crystal structure of Ba2HgTe2, computed with GGA-PBE.

Summary:
**DOS(E_F)**: 0.00 states/eV per cell
**Polymorph energy (0 for the lowest one)**: 0.0359 eV per atom
**E_form (uncorrected)**: -6.37 eV per formula unit
**V**: 40.958 Å³ per atom
**Space group**: No. 127

abc: 9.6335 9.6335 4.4134
angles: 90.00 90.00 90.00
Closest atoms and distances in Å follow each position.
Fractional positions:
Te: 0.3518 0.8518 0.0000  6 Ba 3.51-3.63, 2 Hg 3.68
Te: 0.8518 0.6482 0.0000  6 Ba 3.51-3.63, 2 Hg 3.68
Te: 0.6482 0.1482 0.0000  6 Ba 3.51-3.63, 2 Hg 3.68
Te: 0.1482 0.3518 0.0000  6 Ba 3.51-3.63, 2 Hg 3.68
Hg: 0.0000 0.0000 0.0000  4 Te 3.68
Hg: 0.5000 0.5000 0.0000  4 Te 3.68
Ba: 0.1513 0.6513 0.5000  6 Te 3.51-3.63
Ba: 0.6513 0.8487 0.5000  6 Te 3.51-3.63
Ba: 0.8487 0.3487 0.5000  6 Te 3.51-3.63
Ba: 0.3487 0.1513 0.5000  6 Te 3.51-3.63

=====

[12]
An optimized crystal structure of Y3TmS4, computed with GGA-PBE.

Summary:
**DOS(E_F)**: 5.00 states/eV per cell
**Polymorph energy (0 for the lowest one)**: 0.0000 eV per atom
**E_form (uncorrected)**: -15.82 eV per formula unit
**V**: 20.970 Å³ per atom
**Space group**: No. 65

abc: 3.8689 6.7740 6.7740
angles: 109.10 90.00 90.00
Closest atoms and distances in Å follow each position.
Fractional positions:
Y: 0.0000 0.0000 0.5000  6 S 2.76
Y: 0.5000 0.5000 0.5000  6 S 2.79
Y: 0.0000 0.5000 0.0000  6 S 2.76
S: 0.0000 0.2448 0.2448  2 Tm 2.73, 4 Y 2.76-2.79
S: 0.5000 0.7526 0.2474  1 Tm 2.73, 5 Y 2.76-2.79
S: 0.0000 0.7552 0.7552  2 Tm 2.73, 4 Y 2.76-2.79
S: 0.5000 0.2474 0.7526  1 Tm 2.73, 5 Y 2.76-2.79
Tm: 0.5000 0.0000 0.0000  6 S 2.73

=====

| no. | uncorrected energy (eV per cell) | magnetization (μB per atom) |
| --- | --- | --- |
| 1 | -23.82 | 0.000 |
| 2 | -40.36 | 0.000 |
| 3 | -74.12 | 0.160 |
| 4 | -80.44 | 0.000 |
| 5 | -135.56 | 0.000 |
| 6 | -23.96 | 0.330 |
| 7 | -16.69 | 0.793 |
| 8 | -19.37 | 0.082 |
| 9 | -8.72 | 0.000 |
| 10 | -30.46 | 0.000 |
| 11 | -33.60 | 0.000 |
| 12 | -56.19 | 0.000 |